Compound: MnBiO2
Source: Alexandria via LeMat-Bulk
Functional: PBE with a Hubbard U
Structure: optimized geometry

## Properties
Volume, Å³ per cell: 215.0
Uncorrected energy, eV per atom: -6.25

a b c (Å): 3.6861 3.6861 18.2723
angles (deg): 90.00 90.00 120.00
Space group R-3m (No. 166, hexagonal axes)
One atom of each set of equivalent atoms:
Mn: 0.0000 0.0000 0.0000 x3
Bi: 0.0000 0.0000 0.5000 x3
O: 0.0000 0.0000 0.1047 x6